[1]
K3Mn4F12: optimized geometry, PBE with a Hubbard U.

Computed properties:
Total moment, μB/f.u.: 19.00
Final energy, eV/atom: -5.659

The structure in POSCAR format:
```
K3Mn4F12
1.0
-4.3575 5.4247 1.9616
0.7082 -0.0410 -7.1945
-2.8410 -6.2810 2.1776
F K Mn
12 3 4
direct
0.2568 0.5143 0.2575
0.9992 0.7425 0.2568
0.7425 0.7432 0.4857
0.2575 0.2568 0.5143
0.0008 0.2575 0.7432
0.5143 0.2575 0.2568
0.7432 0.4857 0.7425
0.2568 0.9992 0.7425
0.7425 0.2568 0.9992
0.2575 0.7432 0.0008
0.7432 0.0008 0.2575
0.4857 0.7425 0.7432
0.5000 0.0000 0.5000
0.5000 0.5000 0.0000
0.0000 0.5000 0.5000
0.5000 0.5000 0.5000
0.5000 0.0000 0.0000
0.0000 0.5000 0.0000
0.0000 0.0000 0.5000
```



[2]
Mn3O5F: optimized geometry, PBE with a Hubbard U.

Computed properties:
Energy above the most stable polymorph in this dataset, meV per atom: 8
Total moment, μB/f.u.: 10.00
Final energy, eV/atom: -6.956

The structure in POSCAR format:
```
Mn3O5F
1.0
-1.0991 -2.8808 4.4864
1.4916 -5.1582 -0.9333
6.1641 -1.0263 3.3801
Mn O F
6 10 2
direct
0.9902 0.9954 0.4897
0.6692 0.6844 0.8303
0.3397 0.3506 0.6670
0.3159 0.3311 0.1746
0.6563 0.6678 0.3323
0.0206 0.9778 0.0094
0.3502 0.9710 0.3334
0.9632 0.3577 0.3340
0.3140 0.6847 0.0000
0.8888 0.8925 0.3007
0.7725 0.7667 0.0392
0.2364 0.2285 0.9611
0.4325 0.4313 0.3730
0.5721 0.5677 0.6282
0.0293 0.6487 0.6674
0.6401 0.0362 0.6663
0.1040 0.1103 0.6947
0.7051 0.2976 0.9989
```



Look up the final energy of the second one.
-6.956 eV/atom



Which of these has the highest total moment?
K3Mn4F12



final energy of number 1 (K3Mn4F12)?
-5.659 eV/atom